Entry 1:
This record from Alexandria describes crystalline Sr2CdPd2 at its relaxed geometry. The functional is GGA-PBE.

**Energy of formation**: -0.3144 eV/atom
**Symmetry**: I4/mmm (139)
**Spin magnetization**: 0.00 μB per formula unit
**ρ**: 5.91 g cm⁻³

a b c (Å): 3.9650 3.9650 9.3732
angles (deg): 77.79 77.79 90.00
Sites, in units of the cell vectors:
Sr 0.3800 0.3800 0.2401
Sr 0.6200 0.6200 0.7599
Pd 0.7500 0.2500 0.5000
Pd 0.2500 0.7500 0.5000
Cd 0.0000 0.0000 0.0000



Entry 2:
This record from Alexandria describes crystalline Sr2Cd5Pd at its relaxed geometry. The functional is GGA-PBE.

**Energy of formation**: -0.3309 eV/atom
**Symmetry**: Cmcm (63)
**Spin magnetization**: 0.00 μB per formula unit
**ρ**: 6.40 g cm⁻³

a b c (Å): 4.7176 9.3081 10.3105
angles (deg): 90.00 90.00 104.68
Sites, in units of the cell vectors:
Sr 0.8156 0.6311 0.7500
Sr 0.1844 0.3689 0.2500
Sr 0.0000 0.0000 0.0000
Sr 0.0000 0.0000 0.5000
Cd 0.1939 0.3878 0.8914
Cd 0.8061 0.6122 0.1086
Cd 0.1939 0.3878 0.6086
Cd 0.8061 0.6122 0.3914
Cd 0.3574 0.7148 0.9717
Cd 0.6426 0.2852 0.0283
Cd 0.3574 0.7148 0.5283
Cd 0.6426 0.2852 0.4717
Cd 0.5951 0.1902 0.7500
Cd 0.4049 0.8098 0.2500
Pd 0.4426 0.8853 0.7500
Pd 0.5574 0.1147 0.2500



Entry 3:
This record from Alexandria describes crystalline Sr3CdPd2 at its relaxed geometry. The functional is GGA-PBE.

**Energy of formation**: -0.4579 eV/atom
**Symmetry**: P2_1/m (11)
**Spin magnetization**: 0.00 μB per formula unit
**ρ**: 5.08 g cm⁻³

a b c (Å): 8.4839 9.7311 9.7466
angles (deg): 90.00 107.07 90.00
Sites, in units of the cell vectors:
Sr 0.3381 0.9627 0.0921
Sr 0.1619 0.4627 0.4079
Sr 0.6619 0.0373 0.9079
Sr 0.8381 0.5373 0.5921
Sr 0.3386 0.5373 0.0923
Sr 0.1614 0.0373 0.4077
Sr 0.6614 0.4627 0.9077
Sr 0.8386 0.9627 0.5923
Sr 0.9137 0.7497 0.1490
Sr 0.5863 0.2497 0.3510
Sr 0.0863 0.2503 0.8510
Sr 0.4137 0.7503 0.6490
Cd 0.6170 0.7501 0.3174
Cd 0.8830 0.2501 0.1826
Cd 0.3830 0.2499 0.6826
Cd 0.1170 0.7499 0.8174
Pd 0.7502 0.0000 0.2501
Pd 0.7498 0.5000 0.2499
Pd 0.2498 0.0000 0.7499
Pd 0.2502 0.5000 0.7501
Pd 0.2870 0.7500 0.3134
Pd 0.2130 0.2500 0.1866
Pd 0.7130 0.2500 0.6866
Pd 0.7870 0.7500 0.8134



Entry 4:
This record from Alexandria describes crystalline Sr4CdPd2 at its relaxed geometry. The functional is GGA-PBE.

**Energy of formation**: -0.4146 eV/atom
**Symmetry**: R-3m (166)
**Spin magnetization**: 0.00 μB per formula unit
**Energy above the lowest structure with this stoichiometry**: 36 meV/atom
**ρ**: 4.70 g cm⁻³

a b c (Å): 5.1806 5.1806 10.7022
angles (deg): 75.99 75.99 60.00
Sites, in units of the cell vectors:
Sr 0.3862 0.3862 0.8413
Sr 0.2034 0.2034 0.3899
Sr 0.7966 0.7966 0.6101
Sr 0.6138 0.6138 0.1587
Cd 0.0000 0.0000 0.0000
Pd 0.0921 0.0921 0.7236
Pd 0.9079 0.9079 0.2764